Below is a crystal of Al2SiCl relaxed with PBEsol, with properties calculated at the meta-GGA SCAN level.

Cell lengths 2.9025, 4.7869, 4.9218 Å; angles 90.00, 90.00, 90.00 degrees
Element x y z (fractional)
Al  0.0000  0.0000  0.0000
Al  0.5000  0.0000  0.5000
Si  0.0000  0.5000  0.5000
Cl  0.5000  0.5000  0.0000

Computed properties:
**Formation energy without anion corrections**: 0.25 eV/atom
**DOS(E_F)**: 1.2 states/eV/cell
**Relative energy among the computed polymorphs**: 197.0 meV per atom
**Total magnetic moment**: 0.00 μB per atom

***

Below is a crystal of KZr2MoIr relaxed with PBEsol, with properties calculated at the meta-GGA SCAN level.

Cell lengths 4.8795, 4.8795, 4.8257 Å; angles 90.00, 90.00, 90.00 degrees
Element x y z (fractional)
K  0.0000  0.0000  0.0000
Zr  0.0000  0.5000  0.5000
Zr  0.5000  0.0000  0.5000
Mo  0.0000  0.0000  0.5000
Ir  0.5000  0.5000  0.0000

Computed properties:
**ΔH_f (0 K)**: 1.52 eV per atom
**DOS(E_F)**: 3.4 states/eV/cell
**Total magnetic moment**: 0.00 μB per atom

***

Below is a crystal of CdAu relaxed with PBEsol, with properties calculated at the meta-GGA SCAN level.

Cell lengths 6.6229, 6.6229, 6.6229 Å; angles 90.00, 90.00, 90.00 degrees
Element x y z (fractional)
Cd  0.1250  0.1250  0.1250
Cd  0.1250  0.6250  0.6250
Cd  0.3750  0.3750  0.8750
Cd  0.3750  0.8750  0.3750
Cd  0.6250  0.1250  0.6250
Cd  0.6250  0.6250  0.1250
Cd  0.8750  0.3750  0.3750
Cd  0.8750  0.8750  0.8750
Au  0.1250  0.1250  0.6250
Au  0.1250  0.6250  0.1250
Au  0.3750  0.3750  0.3750
Au  0.3750  0.8750  0.8750
Au  0.6250  0.1250  0.1250
Au  0.6250  0.6250  0.6250
Au  0.8750  0.3750  0.8750
Au  0.8750  0.8750  0.3750

Computed properties:
**ΔH_f (0 K)**: -0.16 eV per atom
**DOS(E_F)**: 4.0 states/eV/cell
**Total magnetic moment**: 0.00 μB per atom